Density functional theory data (PBE-GGA) for a relaxed Hf3RhO crystal.

abc: 4.360 4.360 4.360
angles: 90.00 90.00 90.00
Sites, in units of the cell vectors:
Hf (0.000, 0.000, 0.500)
Hf (0.000, 0.500, 0.000)
Hf (0.500, 0.000, 0.000)
Rh (0.500, 0.500, 0.500)
O (0.000, 0.000, 0.000)

## Properties
**DOS at the Fermi energy**: 2.5 states/eV per cell
**Space group**: Pm-3m, No. 221
**E_tot**: -48.275 eV per cell
**Formation energy from raw total energies**: -1.221 eV per atom
**Crystal system**: cubic
**Magnetization**: 0.0 μB per cell